A relaxed structure of Zn2FeF, computed with PBE with a Hubbard U.

Cell lengths 7.3216, 7.3216, 5.6962 Å; angles 50.01, 50.01, 90.00 degrees
Last column: magnetic moment on the atom in μB.
Sites, in units of the cell vectors:
Zn  0.3750  0.4120  0.7500  -0.01
Zn  0.5880  0.1250  0.2500  -0.01
Zn  0.8750  0.8380  0.7500  -0.01
Zn  0.1620  0.6250  0.2500  -0.01
Fe  0.7500  0.2500  0.5000  3.71
Fe  0.0000  0.0000  0.0000  3.71
F  0.2500  0.7500  0.5000  0.04
F  0.5000  0.5000  0.0000  0.04

Calculated values
Space group: No. 122
Offset from the most stable computed form in eV/atom: 0.000